1.
{
  "formula": "Ce4Bi2PbSe",
  "functional": "PBE",
  "state": "optimized geometry",
  "lattice": [[7.7638, 0.0000, 0.0000], [0.0000, 4.5075, 0.0000], [-2.6090, 0.0000, 7.3666]],
  "species": ["Ce", "Ce", "Ce", "Ce", "Bi", "Bi", "Pb", "Se"],
  "frac_coords": [[0.2378, 0.0000, 0.2354], [0.2455, 0.5000, 0.7589], [0.7545, 0.5000, 0.2411], [0.7622, 0.0000, 0.7646], [0.0000, 0.0000, 0.5000], [0.5000, 0.5000, 0.5000], [0.5000, 0.0000, 0.0000], [0.0000, 0.5000, 0.0000]],
  "final_energy_ev_per_atom": -5.74,
  "dos_ef_per_ev_fu": 25.79
}

2.
{
  "formula": "CeSnBiPb",
  "functional": "PBE",
  "state": "optimized geometry",
  "lattice": [[4.7660, 0.0000, 0.0000], [0.0000, 4.8351, 0.0000], [0.0000, 0.0000, 4.9789]],
  "species": ["Ce", "Sn", "Bi", "Pb"],
  "frac_coords": [[0.0000, 0.0000, 0.0000], [0.5000, 0.0000, 0.5000], [0.5000, 0.5000, 0.0000], [0.0000, 0.5000, 0.5000]],
  "formation_energy_kj_per_mol_fu": -170,
  "final_energy_ev_per_atom": -4.82,
  "dos_ef_per_ev_fu": 5.12
}

3.
{
  "formula": "Ce6BiTe3Pb2",
  "functional": "PBE",
  "state": "optimized geometry",
  "lattice": [[9.8539, -2.2856, 0.0000], [9.8539, 2.2856, 0.0000], [-1.9005, 0.0000, 8.8239]],
  "species": ["Ce", "Ce", "Ce", "Ce", "Ce", "Ce", "Bi", "Te", "Te", "Te", "Pb", "Pb"],
  "frac_coords": [[0.9996, 0.9996, 0.2476], [0.0004, 0.0004, 0.7524], [0.3324, 0.3324, 0.4162], [0.3333, 0.3333, 0.9173], [0.6667, 0.6667, 0.0827], [0.6676, 0.6676, 0.5838], [0.5000, 0.5000, 0.5000], [0.1659, 0.1659, 0.3328], [0.5000, 0.5000, 0.0000], [0.8341, 0.8341, 0.6672], [0.1667, 0.1667, 0.8325], [0.8333, 0.8333, 0.1675]],
  "final_energy_ev_per_atom": -5.63,
  "dos_ef_per_ev_fu": 41.10
}

4.
{
  "formula": "CeThBiPb",
  "functional": "PBE",
  "state": "optimized geometry",
  "lattice": [[0.0000, 3.9390, 3.9390], [3.9390, 0.0000, 3.9390], [3.9390, 3.9390, 0.0000]],
  "species": ["Ce", "Th", "Bi", "Pb"],
  "frac_coords": [[0.0000, 0.0000, 0.0000], [0.5000, 0.5000, 0.5000], [0.7500, 0.7500, 0.7500], [0.2500, 0.2500, 0.2500]],
  "formation_energy_kj_per_mol_fu": -148,
  "final_energy_ev_per_atom": -5.62,
  "dos_ef_per_ev_fu": 9.00
}

5.
{
  "formula": "CeTlBiPb",
  "functional": "PBE",
  "state": "optimized geometry",
  "lattice": [[4.7819, 0.0000, 0.0000], [0.0000, 4.8778, 0.0000], [0.0000, 0.0000, 5.0440]],
  "species": ["Ce", "Tl", "Bi", "Pb"],
  "frac_coords": [[0.0000, 0.0000, 0.0000], [0.0000, 0.5000, 0.5000], [0.5000, 0.5000, 0.0000], [0.5000, 0.0000, 0.5000]],
  "formation_energy_kj_per_mol_fu": -148,
  "final_energy_ev_per_atom": -4.36,
  "dos_ef_per_ev_fu": 5.69
}

6.
{
  "formula": "Ce2BiPd2",
  "functional": "PBE",
  "state": "optimized geometry",
  "lattice": [[7.8946, 0.0000, 0.0000], [0.0000, 7.8946, 0.0000], [0.0000, 0.0000, 3.8628]],
  "species": ["Ce", "Ce", "Ce", "Ce", "Bi", "Bi", "Pd", "Pd", "Pd", "Pd"],
  "frac_coords": [[0.1763, 0.3237, 0.0000], [0.3237, 0.8237, 0.0000], [0.6763, 0.1763, 0.0000], [0.8237, 0.6763, 0.0000], [0.0000, 0.0000, 0.5000], [0.5000, 0.5000, 0.5000], [0.1248, 0.6248, 0.5000], [0.3752, 0.1248, 0.5000], [0.6248, 0.8752, 0.5000], [0.8752, 0.3752, 0.5000]],
  "formation_energy_kj_per_mol_fu": -379,
  "final_energy_ev_per_atom": -6.01,
  "dos_ef_per_ev_fu": 11.42
}

7.
{
  "formula": "CeBi2Pd",
  "functional": "PBE",
  "state": "optimized geometry",
  "lattice": [[1.7359, 1.0022, 10.6860], [-1.7359, 1.0022, 10.6860], [0.0000, -2.0044, 10.6860]],
  "species": ["Ce", "Bi", "Bi", "Pd"],
  "frac_coords": [[0.0000, 0.0000, 0.0000], [0.1024, 0.1024, 0.1024], [0.8976, 0.8976, 0.8976], [0.5000, 0.5000, 0.5000]],
  "formation_energy_kj_per_mol_fu": -14,
  "final_energy_ev_per_atom": -4.76,
  "dos_ef_per_ev_fu": 6.58
}

8.
{
  "formula": "CeBiPd",
  "functional": "PBE",
  "state": "optimized geometry",
  "lattice": [[0.0000, 3.4278, 3.4278], [3.4278, 0.0000, 3.4278], [3.4278, 3.4278, 0.0000]],
  "species": ["Ce", "Bi", "Pd"],
  "frac_coords": [[0.0000, 0.0000, 0.0000], [0.5000, 0.5000, 0.5000], [0.7500, 0.7500, 0.7500]],
  "formation_energy_kj_per_mol_fu": -241,
  "final_energy_ev_per_atom": -5.83,
  "dos_ef_per_ev_fu": 6.95
}

9.
{
  "formula": "CeBi2Pd",
  "functional": "PBE",
  "state": "optimized geometry",
  "lattice": [[-2.3491, 2.3491, 9.4787], [2.3491, -2.3491, 9.4787], [2.3491, 2.3491, -9.4787]],
  "species": ["Ce", "Ce", "Bi", "Bi", "Bi", "Bi", "Pd", "Pd"],
  "frac_coords": [[0.1311, 0.1311, 0.0000], [0.8689, 0.8689, 0.0000], [0.0000, 0.5000, 0.5000], [0.3353, 0.3353, 0.0000], [0.5000, 0.0000, 0.5000], [0.6647, 0.6647, 0.0000], [0.2500, 0.7500, 0.5000], [0.7500, 0.2500, 0.5000]],
  "formation_energy_kj_per_mol_fu": -244,
  "final_energy_ev_per_atom": -5.36,
  "dos_ef_per_ev_fu": 5.23
}

10.
{
  "formula": "Ce2BiPd9",
  "functional": "PBE",
  "state": "optimized geometry",
  "lattice": [[4.1571, 0.0000, 0.0000], [0.0000, 4.1571, 0.0000], [0.0000, 0.0000, 12.4227]],
  "species": ["Ce", "Ce", "Bi", "Pd", "Pd", "Pd", "Pd", "Pd", "Pd", "Pd", "Pd", "Pd"],
  "frac_coords": [[0.0000, 0.0000, 0.1680], [0.0000, 0.0000, 0.8320], [0.0000, 0.0000, 0.5000], [0.0000, 0.5000, 0.0000], [0.0000, 0.5000, 0.3305], [0.0000, 0.5000, 0.6695], [0.5000, 0.0000, 0.0000], [0.5000, 0.0000, 0.3305], [0.5000, 0.0000, 0.6695], [0.5000, 0.5000, 0.1669], [0.5000, 0.5000, 0.5000], [0.5000, 0.5000, 0.8331]],
  "formation_energy_kj_per_mol_fu": -722,
  "final_energy_ev_per_atom": -5.83,
  "dos_ef_per_ev_fu": 7.76
}

11.
{
  "formula": "Ce4Bi8Pd3",
  "functional": "PBE",
  "state": "optimized geometry",
  "lattice": [[4.6388, 0.0000, 0.0000], [0.0000, 4.6388, 0.0000], [0.0000, 0.0000, 19.0603]],
  "species": ["Ce", "Ce", "Ce", "Ce", "Bi", "Bi", "Bi", "Bi", "Bi", "Bi", "Bi", "Bi", "Pd", "Pd", "Pd"],
  "frac_coords": [[0.0000, 0.5000, 0.1092], [0.0000, 0.5000, 0.6162], [0.5000, 0.0000, 0.3838], [0.5000, 0.0000, 0.8908], [0.0000, 0.0000, 0.2464], [0.0000, 0.0000, 0.7536], [0.0000, 0.5000, 0.4113], [0.0000, 0.5000, 0.9185], [0.5000, 0.0000, 0.0815], [0.5000, 0.0000, 0.5887], [0.5000, 0.5000, 0.2461], [0.5000, 0.5000, 0.7539], [0.0000, 0.0000, 0.5000], [0.5000, 0.5000, 0.0000], [0.5000, 0.5000, 0.5000]],
  "formation_energy_kj_per_mol_fu": -926,
  "final_energy_ev_per_atom": -5.33,
  "dos_ef_per_ev_fu": 17.68
}

12.
{
  "formula": "Ce2BiPd2",
  "functional": "PBE",
  "state": "optimized geometry",
  "lattice": [[2.4929, 1.4393, 5.3029], [-2.4929, 1.4393, 5.3029], [0.0000, -2.8786, 5.3029]],
  "species": ["Ce", "Ce", "Bi", "Pd", "Pd"],
  "frac_coords": [[0.2152, 0.2152, 0.2152], [0.7848, 0.7848, 0.7848], [0.0000, 0.0000, 0.0000], [0.4123, 0.4123, 0.4123], [0.5877, 0.5877, 0.5877]],
  "formation_energy_kj_per_mol_fu": -325,
  "final_energy_ev_per_atom": -5.90,
  "dos_ef_per_ev_fu": 12.06
}